# PBE-GGA CeTeSe2O, optimized geometry
data_CeTeSe2O
_chemical_formula_sum 'Ce2 Te2 Se4 O2'
_space_group_name_H-M_alt 'P 4/n m m'
_space_group_IT_number 129
_cell_length_a 4.131
_cell_length_b 4.131
_cell_length_c 13.560
_cell_angle_alpha 90.00
_cell_angle_beta 90.00
_cell_angle_gamma 90.00
loop_
_space_group_symop_operation_xyz
'x,y,z'
'-x,-y,-z'
'-y+1/2,x,z'
'y+1/2,-x,-z'
'-x+1/2,-y+1/2,z'
'x+1/2,y+1/2,-z'
'y,-x+1/2,z'
'-y,x+1/2,-z'
'x+1/2,-y,-z'
'-x+1/2,y,z'
'-y,-x,-z'
'y,x,z'
'-x,y+1/2,-z'
'x,-y+1/2,z'
'y+1/2,x+1/2,-z'
'-y+1/2,-x+1/2,z'
loop_
_atom_site_label
_atom_site_type_symbol
_atom_site_fract_x
_atom_site_fract_y
_atom_site_fract_z
Ce1 Ce 0.250 0.250 0.088
Te1 Te 0.250 0.250 0.611
Se1 Se 0.250 0.250 0.393
Se2 Se 0.250 0.250 0.809
O1 O 0.250 0.750 0.000
# final energy: -5.72 eV per atom
# energy relative to the elements, uncorrected: -1524 meV per atom
# density of states at the Fermi level: 1.401 states/eV per atom



# PBE-GGA Ce7Ti4Se12O6, optimized geometry
data_Ce7Ti4Se12O6
_chemical_formula_sum 'Ce14 Ti8 Se24 O12'
_space_group_name_H-M_alt 'C 1 m 1'
_space_group_IT_number 8
_cell_length_a 28.308
_cell_length_b 3.845
_cell_length_c 11.177
_cell_angle_alpha 90.00
_cell_angle_beta 90.33
_cell_angle_gamma 90.00
loop_
_space_group_symop_operation_xyz
'x,y,z'
'x,-y,z'
'x+1/2,y+1/2,z'
'x+1/2,-y+1/2,z'
loop_
_atom_site_label
_atom_site_type_symbol
_atom_site_fract_x
_atom_site_fract_y
_atom_site_fract_z
Ce1 Ce 0.000 0.000 0.000
Ce2 Ce 0.010 0.500 0.503
Ce3 Ce 0.119 0.500 0.970
Ce4 Ce 0.131 0.000 0.465
Ce5 Ce 0.260 0.500 0.816
Ce6 Ce 0.362 0.000 0.658
Ce7 Ce 0.384 0.500 0.278
Ti1 Ti 0.063 0.500 0.235
Ti2 Ti 0.064 0.000 0.735
Ti3 Ti 0.270 0.500 0.502
Ti4 Ti 0.350 0.000 0.967
Se1 Se 0.000 0.500 0.774
Se2 Se 0.122 0.000 0.188
Se3 Se 0.127 0.500 0.695
Se4 Se 0.199 0.000 0.942
Se5 Se 0.202 0.500 0.367
Se6 Se 0.225 0.000 0.619
Se7 Se 0.309 0.500 0.080
Se8 Se 0.319 0.000 0.394
Se9 Se 0.401 0.500 0.854
Se10 Se 0.423 0.000 0.108
Se11 Se 0.425 0.500 0.525
Se12 Se 0.499 0.500 0.284
O1 O 0.040 0.500 0.066
O2 O 0.048 0.000 0.565
O3 O 0.079 0.000 0.906
O4 O 0.084 0.500 0.402
O5 O 0.309 0.000 0.832
O6 O 0.315 0.500 0.641
# final energy: -7.15 eV per atom
# energy relative to the elements, uncorrected: -2164 meV per atom
# density of states at the Fermi level: 1.420 states/eV per atom



# PBE-GGA CeTiSe2O, optimized geometry
data_CeTiSe2O
_chemical_formula_sum 'Ce2 Ti2 Se4 O2'
_space_group_name_H-M_alt 'P 4/n m m'
_space_group_IT_number 129
_cell_length_a 3.798
_cell_length_b 3.798
_cell_length_c 13.301
_cell_angle_alpha 90.00
_cell_angle_beta 90.00
_cell_angle_gamma 90.00
loop_
_space_group_symop_operation_xyz
'x,y,z'
'-x,-y,-z'
'-y+1/2,x,z'
'y+1/2,-x,-z'
'-x+1/2,-y+1/2,z'
'x+1/2,y+1/2,-z'
'y,-x+1/2,z'
'-y,x+1/2,-z'
'x+1/2,-y,-z'
'-x+1/2,y,z'
'-y,-x,-z'
'y,x,z'
'-x,y+1/2,-z'
'x,-y+1/2,z'
'y+1/2,x+1/2,-z'
'-y+1/2,-x+1/2,z'
loop_
_atom_site_label
_atom_site_type_symbol
_atom_site_fract_x
_atom_site_fract_y
_atom_site_fract_z
Ce1 Ce 0.250 0.250 0.099
Ti1 Ti 0.250 0.250 0.585
Se1 Se 0.250 0.250 0.392
Se2 Se 0.250 0.250 0.786
O1 O 0.250 0.750 0.000
# final energy: -7.16 eV per atom
# energy relative to the elements, uncorrected: -2013 meV per atom
# density of states at the Fermi level: 1.406 states/eV per atom